# 1
Cs2AlF5: relaxed, GGA-PBE.

Formation energy (no corrections) in eV/atom: -3.211
N(E_F) in states/eV per cell: 0.00
Total energy in eV/f.u.: -40.50
Magnetization in μB per cell: 0.00

```
8
Lattice="6.3037 0.1598 0.2277 -2.9645 5.5654 -0.2277 -2.9645 -2.1074 5.1560" Properties=species:S:1:pos:R:3 pbc="T T T"
Cs 0.1418 -0.0827 3.9618
Cs 0.1419 3.7537 1.2699
Al -0.1859 0.1084 0.1545
F -0.7826 2.8595 4.0753
F -2.8742 4.0795 0.7030
F -2.8742 -0.7267 4.0753
F 1.3378 0.6530 0.9307
F -1.4006 0.8169 1.1642
```

***

# 2
Cs3Al2F9: relaxed, GGA-PBE.

Formation energy (no corrections) in eV/atom: -3.297
N(E_F) in states/eV per cell: 0.00
Total energy in eV/f.u.: -73.04
Magnetization in μB per cell: 0.48

```
28
Lattice="-4.8987 -6.2189 1.7019 0.9825 0.5826 8.0165 -6.5503 4.6278 1.1160" Properties=species:S:1:pos:R:3 pbc="T T T"
Cs -1.8713 -1.6295 6.8070
Cs -4.2416 1.7308 8.3364
Cs -5.4794 -4.1166 6.5963
Cs -4.9870 3.1081 4.2380
Cs -6.2248 -2.7393 2.4980
Cs -8.5952 0.6210 4.0274
Al -1.6627 -0.1602 1.7211
Al -6.8959 -0.6644 7.1383
Al -8.8037 -0.8483 9.1132
Al -3.5705 -0.3440 3.6960
F -3.0408 -3.9882 8.5187
F -1.1753 1.0724 8.1762
F -1.6679 -0.7616 3.5776
F -5.2529 -1.1627 7.5355
F -7.1091 0.1002 8.9210
F -7.6418 -2.1224 8.1995
F -3.3157 0.5842 5.1722
F -3.8891 -1.9350 4.3839
F -5.1468 -5.3768 3.7392
F -5.3196 4.3683 7.0952
F -6.5774 0.9265 6.4505
F -3.3573 -1.1087 1.9133
F -7.1507 -1.5927 5.6621
F -2.8246 1.1139 2.6348
F -5.2136 0.1542 3.2988
F -8.7985 -0.2469 7.2567
F -9.2912 -2.0808 2.6582
F -7.4256 2.9798 2.3156
```

***

# 3
Cs2AlF6: relaxed, GGA-PBE.

E above lowest polymorph in meV/atom: 4
Formation energy (no corrections) in eV/atom: -2.877
N(E_F) in states/eV per cell: 20.17
Total energy in eV/f.u.: -42.57
Magnetization in μB per cell: 2.09

```
18
Lattice="6.3448 0.0000 0.0000 -3.1724 5.4948 0.0000 0.0000 0.0000 10.3585" Properties=species:S:1:pos:R:3 pbc="T T T"
Cs 0.0000 0.0000 6.1467
Cs 0.0000 0.0000 0.9674
Cs 0.0000 3.6632 9.0422
Cs 3.1724 1.8316 3.8630
Al 0.0000 3.6632 2.6727
Al 3.1724 1.8316 7.8520
F 0.0000 5.1390 1.5915
F 1.8943 2.5695 6.7707
F 4.4505 2.5695 6.7707
F -1.2781 2.9253 1.5915
F 1.2781 2.9253 1.5915
F 3.1724 0.3557 6.7707
F 3.1724 3.3490 8.8555
F -1.3141 4.4219 3.6763
F 1.3141 4.4219 3.6763
F 1.8583 1.0729 8.8555
F 4.4865 1.0729 8.8555
F 0.0000 2.1458 3.6763
```

***

# 4
CsAlF4: relaxed, GGA-PBE.

Formation energy (no corrections) in eV/atom: -3.361
N(E_F) in states/eV per cell: 0.00
Total energy in eV/f.u.: -32.25
Magnetization in μB per cell: 0.26

```
18
Lattice="-8.8293 -2.5172 -2.8910 6.1251 -6.7166 3.1655 -1.2858 0.4809 3.5083" Properties=species:S:1:pos:R:3 pbc="T T T"
Al 4.7994 -5.2629 2.4804
Al -0.5853 -1.9985 0.0594
Al -6.9183 -1.9724 -2.2653
Cs 2.0036 -2.6616 3.1219
Cs -2.1787 -5.0037 1.9101
Cs -4.4578 -0.8472 0.5050
F 0.9456 -1.0369 0.4887
F -2.2867 -7.8082 0.2322
F -1.3631 -0.3886 -0.4463
F 4.2042 -5.0748 4.2592
F -1.2071 -1.6862 1.8114
F -7.6300 -1.7515 -0.5337
F 3.1300 -5.3411 1.8792
F 0.2460 -3.4835 0.5676
F 0.0449 -7.1258 0.9932
F -2.0939 -2.8264 -0.3800
F -3.8946 -6.0195 -0.6023
F -5.5449 -2.9050 -1.6341
```

***

# 5
CsAl2F: relaxed, GGA-PBE.

E above lowest polymorph in meV/atom: 0
Formation energy (no corrections) in eV/atom: -0.414
N(E_F) in states/eV per cell: 4.78
Total energy in eV/f.u.: -11.87
Magnetization in μB per cell: 0.00

```
8
Lattice="5.1705 0.0000 0.0000 0.0000 5.1705 0.0000 2.5853 2.5853 9.0809" Properties=species:S:1:pos:R:3 pbc="T T T"
Cs 0.0000 0.0000 0.0000
Cs 5.1705 2.5853 4.5404
Al 2.5828 1.2926 2.2702
Al 2.5878 3.8779 2.2702
Al 3.8779 5.1730 6.8107
Al 6.4632 5.1680 6.8107
F 2.5853 2.5853 0.0000
F 2.5853 5.1705 4.5404
```

***

# 6
CsAlF4: relaxed, GGA-PBE.

Formation energy (no corrections) in eV/atom: -3.251
N(E_F) in states/eV per cell: 0.00
Total energy in eV/f.u.: -31.59
Magnetization in μB per cell: 0.00

```
12
Lattice="3.7061 0.0000 -0.8931 0.0000 5.9931 0.0000 0.2230 0.0000 9.0616" Properties=species:S:1:pos:R:3 pbc="T T T"
Cs 3.1242 4.6812 4.8282
Cs 0.8049 1.6846 3.3403
Al 2.1266 4.6765 0.6885
Al 1.8025 1.6800 7.4800
F 3.6847 1.6765 7.1541
F 0.2444 4.6730 1.0143
F 2.0734 0.1701 8.6038
F 1.8558 3.1667 -0.4353
F 2.4378 3.4718 1.9800
F 1.4913 0.4753 6.1884
F 2.4336 5.9005 1.9624
F 1.4955 2.9039 6.2060
```